# 1
A geometry-optimized AlIn2Tc structure. Source: Alexandria, functional PBE.

Cell: 3.034 4.991 5.052 Å, 90.00 92.53 90.00°
Space group P2/m (No. 10)
Asymmetric unit:
Al (0.000, 0.000, 0.000)
In (0.232, 0.500, 0.256)
Tc (0.500, 0.000, 0.500)

Values from the calculation:
E_form (meV/atom): 312.1

=====

# 2
A geometry-optimized AlIn2Tc structure. Source: Alexandria, functional PBE.

Cell: 10.246 10.246 4.806 Å, 90.00 90.00 90.00°
Space group I4_1/amd (No. 141, origin choice 2)
Asymmetric unit:
Al (0.000, 0.250, 0.375)
In (0.000, 0.000, 0.000)
Tc (0.000, 0.250, 0.875)

Values from the calculation:
E_form (meV/atom): 393.3

=====

# 3
A geometry-optimized AlIn2Tc structure. Source: Alexandria, functional PBE.

Cell: 5.624 8.279 3.204 Å, 90.00 90.00 90.00°
Space group Cmmm (No. 65)
Asymmetric unit:
Al (0.000, 0.000, 0.000)
In (0.250, 0.250, 0.500)
Tc (0.000, 0.500, 0.000)

Values from the calculation:
E_form (meV/atom): 279.2

=====

# 4
A geometry-optimized AlIn2Tc structure. Source: Alexandria, functional PBE.

Cell: 3.1363 3.1363 27.5481 Å, 90.00 90.00 120.00°
Space group R-3m (No. 166, hexagonal axes)
Asymmetric unit:
Al (0.0000, 0.0000, 0.0000)
In (0.0000, 0.0000, 0.2443)
Tc (0.0000, 0.0000, 0.5000)

Values from the calculation:
E_form (meV/atom): 320.9

=====

# 5
A geometry-optimized AlInTc structure. Source: Alexandria, functional PBE.

Cell: 3.0192 3.0192 6.7278 Å, 90.00 90.00 120.00°
Space group P3m1 (No. 156)
Asymmetric unit:
Al (0.0000, 0.0000, 0.0000)
In (0.6667, 0.3333, 0.3773)
Tc (0.3333, 0.6667, 0.7162)

Values from the calculation:
E_form (meV/atom): 163.9
Polymorph energy (0 for the lowest one) (kJ/mol of formula units): 54

=====

# 6
A geometry-optimized AlIn2Tc structure. Source: Alexandria, functional PBE.

Cell: 3.010 3.010 8.725 Å, 90.00 90.00 90.00°
Space group P4/mmm (No. 123)
Asymmetric unit:
Al (0.000, 0.000, 0.000)
In (0.500, 0.500, 0.274)
Tc (0.000, 0.000, 0.500)

Values from the calculation:
E_form (meV/atom): 333.4